This record from Alexandria describes an optimized crystal structure of K2TlCo. The functional is GGA-PBE.

Electronic total energy: -8.9 eV per cell
Energy relative to the lowest polymorph listed for this composition: 295 meV per atom
Energy of formation from the pure elements: 2.81 eV/f.u.
SG: P4/mmm

abc: 5.368 4.857 4.857
angles: 90.00 90.00 90.00
Positions (direct):
Co 0.500 0.000 0.500
K 0.000 0.000 0.000
K 0.000 0.500 0.500
Tl 0.500 0.500 0.000

This record from Alexandria describes an optimized crystal structure of KTlCo2. The functional is GGA-PBE.

Electronic total energy: -14.8 eV per cell
Energy of formation from the pure elements: 2.84 eV/f.u.
SG: Imm2

abc: 6.112 6.112 6.112
angles: 150.82 127.51 61.18
Positions (direct):
Co 0.967 0.967 0.000
Co 0.815 0.315 0.500
K 0.509 0.509 0.000
Tl 0.210 0.710 0.500

This record from Alexandria describes an optimized crystal structure of KTlCo. The functional is GGA-PBE.

Electronic total energy: -9.1 eV per cell
Energy relative to the lowest polymorph listed for this composition: 0 meV per atom
Energy of formation from the pure elements: 1.50 eV/f.u.
SG: Imm2

abc: 6.719 6.719 6.719
angles: 151.48 145.11 45.66
Positions (direct):
Co 0.069 0.069 0.000
K 0.331 0.331 0.000
Tl 0.600 0.600 0.000

This record from Alexandria describes an optimized crystal structure of KTlCo2. The functional is GGA-PBE.

Electronic total energy: -13.4 eV per cell
Energy of formation from the pure elements: 4.23 eV/f.u.
SG: F-43m

abc: 4.870 4.870 4.870
angles: 60.00 60.00 60.00
Positions (direct):
Co 0.000 0.000 0.000
Co 0.250 0.250 0.250
K 0.500 0.500 0.500
Tl 0.750 0.750 0.750

This record from Alexandria describes an optimized crystal structure of KTlCo2. The functional is GGA-PBE.

Electronic total energy: -14.5 eV per cell
Energy of formation from the pure elements: 3.22 eV/f.u.
SG: P4/mmm

abc: 3.569 3.569 7.280
angles: 90.00 90.00 90.00
Positions (direct):
Co 0.000 0.000 0.901
Co 0.000 0.000 0.599
K 0.500 0.500 0.250
Tl 0.500 0.500 0.750

This record from Alexandria describes an optimized crystal structure of KTlCo2. The functional is GGA-PBE.

Electronic total energy: -13.1 eV per cell
Energy of formation from the pure elements: 4.54 eV/f.u.
SG: Pmmm

abc: 3.246 5.153 4.808
angles: 90.00 90.00 90.00
Positions (direct):
Co 0.000 0.000 0.000
Co 0.500 0.500 0.000
K 0.500 0.000 0.500
Tl 0.000 0.500 0.500

This record from Alexandria describes an optimized crystal structure of K2TlCo. The functional is GGA-PBE.

Electronic total energy: -8.8 eV per cell
Energy relative to the lowest polymorph listed for this composition: 301 meV per atom
Energy of formation from the pure elements: 2.83 eV/f.u.
SG: Cmmm

abc: 7.509 5.828 4.310
angles: 90.02 54.93 115.58
Positions (direct):
Co 0.500 0.500 0.000
K 0.000 0.000 0.000
K 0.500 0.000 0.500
Tl 0.000 0.500 0.500

This record from Alexandria describes an optimized crystal structure of KTlCo2. The functional is GGA-PBE.

Electronic total energy: -13.3 eV per cell
Energy of formation from the pure elements: 4.41 eV/f.u.
SG: C2/m

abc: 5.725 5.725 2.821
angles: 79.35 79.35 112.63
Positions (direct):
Co 0.000 0.000 0.000
Co 0.500 0.500 0.000
K 0.500 0.000 0.500
Tl 0.000 0.500 0.500

This record from Alexandria describes an optimized crystal structure of KTl3Co. The functional is GGA-PBE.

Electronic total energy: -14.9 eV per cell
Energy of formation from the pure elements: 0.37 eV/f.u.
SG: Pm-3m

abc: 5.196 5.196 5.196
angles: 90.00 90.00 90.00
Positions (direct):
Tl 0.000 0.500 0.000
Tl 0.000 0.000 0.500
Tl 0.500 0.000 0.000
Co 0.000 0.000 0.000
K 0.500 0.500 0.500

This record from Alexandria describes an optimized crystal structure of KTlCo2. The functional is GGA-PBE.

Electronic total energy: -15.0 eV per cell
Energy of formation from the pure elements: 2.69 eV/f.u.
SG: P2/m

abc: 4.833 3.485 6.490
angles: 84.60 90.00 90.00
Positions (direct):
Co 0.000 0.985 0.852
Co 0.000 0.515 0.648
K 0.500 0.250 0.250
Tl 0.500 0.750 0.750

This record from Alexandria describes an optimized crystal structure of KTlCo4. The functional is GGA-PBE.

Electronic total energy: -28.0 eV per cell
Energy of formation from the pure elements: 3.87 eV/f.u.
SG: F-43m

abc: 5.128 5.128 5.128
angles: 60.00 60.00 60.00
Positions (direct):
K 0.750 0.750 0.750
Tl 0.000 0.000 0.000
Co 0.374 0.878 0.374
Co 0.878 0.374 0.374
Co 0.374 0.374 0.878
Co 0.374 0.374 0.374

This record from Alexandria describes an optimized crystal structure of KTlCo2. The functional is GGA-PBE.

Electronic total energy: -13.4 eV per cell
Energy of formation from the pure elements: 4.31 eV/f.u.
SG: R-3m

abc: 9.857 9.857 9.857
angles: 18.16 18.16 18.16
Positions (direct):
Co 0.012 0.012 0.012
Co 0.488 0.488 0.488
K 0.250 0.250 0.250
Tl 0.750 0.750 0.750

| no. | calculated volume (Å³ per atom) |
| --- | --- |
| 1 | 31.66 |
| 2 | 21.89 |
| 3 | 27.53 |
| 4 | 20.41 |
| 5 | 23.19 |
| 6 | 20.10 |
| 7 | 32.80 |
| 8 | 20.12 |
| 9 | 28.06 |
| 10 | 27.20 |
| 11 | 15.89 |
| 12 | 20.30 |